1.
DFT (PBE-GGA) results for crystalline TbGdGe2Pt4 at its relaxed geometry.

* total energy: -0.4679 Ry per atom

abc: 7.195 3.983 10.323
angles: 90.00 90.00 90.00
Space group Amm2 (No. 38)
One atom of each set of equivalent atoms:
Tb 0.000 0.000 0.000 x2
Gd 0.500 0.000 0.893 x2
Ge 0.000 0.000 0.716 x2
Ge 0.500 0.000 0.177 x2
Pt 0.199 0.000 0.310 x4
Pt 0.300 0.000 0.584 x4

***

2.
DFT (PBE-GGA) results for crystalline BaHf5 at its relaxed geometry.

* total energy: -0.6018 Ry per atom

abc: 5.7713 5.7713 5.2619
angles: 90.00 90.00 120.00
Space group P-62m (No. 189)
One atom of each set of equivalent atoms:
Ba 0.0000 0.0000 0.0000 x1
Hf 0.0000 0.6166 0.5000 x3
Hf 0.3333 0.6667 0.0000 x2

***

3.
DFT (PBE-GGA) results for crystalline Dy3Mg3GaHg2 at its relaxed geometry.

* total energy: -0.2105 Ry per atom

abc: 7.5418 7.5418 4.3803
angles: 90.00 90.00 120.00
Space group P-62m (No. 189)
One atom of each set of equivalent atoms:
Dy 0.0000 0.5882 0.0000 x3
Mg 0.0000 0.2396 0.5000 x3
Ga 0.0000 0.0000 0.0000 x1
Hg 0.3333 0.6667 0.5000 x2